## LiTiFe2O5 (PBE with a Hubbard U)

Data for a relaxed LiTiFe2O5 crystal.

a = 5.4031 Å, b = 5.4327 Å, c = 7.6322 Å
α = 80.72°, β = 70.48°, γ = 65.59°
With the nearest neighbours (Å) after each atom.
Atoms (fractional coordinates):
Li 0.0000 0.0000 0.0000  5 O 2.01-2.23
Li 0.3450 0.5397 0.3871  5 O 2.03-2.22
Ti 0.0842 0.5573 0.8025  4 O 1.87-1.98
Ti 0.4035 0.0457 0.1829  4 O 1.87-1.99
Fe 0.2732 0.0462 0.6028  5 O 1.95-2.09
Fe 0.5285 0.5204 0.9990  6 O 1.98-2.14
Fe 0.7258 0.4969 0.5814  6 O 2.09-2.28
Fe 0.8323 0.0129 0.3955  6 O 2.06-2.22
O 0.0945 0.2273 0.3990  1 Ti 1.95, 3 Fe 2.01-2.18
O 0.2314 0.8004 0.1771  1 Ti 1.93, 1 Fe 1.98, 2 Li 2.03-2.04
O 0.2957 0.3030 0.9991  1 Ti 1.87, 1 Fe 2.05
O 0.3373 0.7417 0.7943  1 Ti 1.98, 3 Fe 2.02-2.22, 1 Li 2.11
O 0.4598 0.2876 0.5988  2 Fe 1.95-2.13, 1 Li 2.03
O 0.5597 0.8046 0.3996  3 Fe 1.97-2.19, 1 Ti 2.12
O 0.6484 0.2338 0.1877  1 Ti 1.99, 2 Fe 2.00-2.10, 2 Li 2.01-2.16
O 0.7626 0.7544 0.9884  1 Ti 1.87
O 0.9193 0.2929 0.8017  1 Ti 1.98, 1 Li 2.03, 3 Fe 2.09-2.18
O 0.9804 0.7379 0.5927  1 Ti 1.87, 1 Fe 2.06, 1 Li 2.06

## Properties
Space group: P1 (1)
E_tot, eV/atom: -7.1386